Density functional theory data (GGA+U) for a relaxed MnCr2WO8 crystal.

CIF file:
```
data_MnCr2WO8
_cell_length_a 6.438
_cell_length_b 6.602
_cell_length_c 6.103
_cell_angle_alpha 90.00
_cell_angle_beta 90.00
_cell_angle_gamma 90.00
_symmetry_space_group_name_H-M 'C m m m'
_symmetry_Int_Tables_number 65
_symmetry_space_group_name_Hall '-C 2 2'
loop_
_atom_site_label
_atom_site_type_symbol
_atom_site_fract_x
_atom_site_fract_y
_atom_site_fract_z
Mn1 Mn 0.000 0.000 0.000
Cr1 Cr 0.000 0.500 0.245
W1 W 0.000 0.000 0.500
O1 O 0.000 0.196 0.262
O2 O 0.198 0.500 0.500
O3 O 0.199 0.500 0.000
```

## Properties
* VASP energy: -7.56 eV/atom
* total magnetic moment: 18.000 μB/cell